# 1
# Pr2S, relaxed, DFT PBE
data_Pr2S
_chemical_formula_sum 'Pr4 S2'
_cell_length_a 6.757
_cell_length_b 6.757
_cell_length_c 4.098
_cell_angle_alpha 90.00
_cell_angle_beta 90.00
_cell_angle_gamma 90.00
_space_group_name_H-M_alt 'P 1'
_space_group_IT_number 1
_space_group_name_Hall 'P 1'
loop_
_atom_site_label
_atom_site_fract_x
_atom_site_fract_y
_atom_site_fract_z
Pr1 0.294 0.294 0.000
Pr2 0.706 0.706 0.000
Pr3 0.794 0.206 0.500
Pr4 0.206 0.794 0.500
S1 0.000 0.000 0.000
S2 0.500 0.500 0.500
# Crystal system: tetragonal
# Total DFT energy (no corrections) (eV/atom): -5.80
# Density (g/cm³): 5.6



# 2
# Pr2S, relaxed, DFT PBE
data_Pr2S
_chemical_formula_sum 'Pr4 S2'
_cell_length_a 4.286
_cell_length_b 4.286
_cell_length_c 8.574
_cell_angle_alpha 90.00
_cell_angle_beta 90.00
_cell_angle_gamma 90.00
_space_group_name_H-M_alt 'P 1'
_space_group_IT_number 1
_space_group_name_Hall 'P 1'
loop_
_atom_site_label
_atom_site_fract_x
_atom_site_fract_y
_atom_site_fract_z
Pr1 0.000 0.000 0.000
Pr2 0.500 0.500 0.000
Pr3 0.500 0.000 0.367
Pr4 0.000 0.500 0.633
S1 0.000 0.500 0.281
S2 0.500 0.000 0.719
# Crystal system: tetragonal
# Total DFT energy (no corrections) (eV/atom): -5.52
# Density (g/cm³): 6.6



# 3
# PrS2, relaxed, DFT PBE
data_PrS2
_chemical_formula_sum 'Pr8 S16'
_cell_length_a 8.069
_cell_length_b 16.336
_cell_length_c 4.096
_cell_angle_alpha 90.00
_cell_angle_beta 90.00
_cell_angle_gamma 90.00
_space_group_name_H-M_alt 'P 1'
_space_group_IT_number 1
_space_group_name_Hall 'P 1'
loop_
_atom_site_label
_atom_site_fract_x
_atom_site_fract_y
_atom_site_fract_z
Pr1 0.129 0.112 0.219
Pr2 0.129 0.388 0.219
Pr3 0.629 0.112 0.281
Pr4 0.629 0.388 0.281
Pr5 0.371 0.612 0.719
Pr6 0.371 0.888 0.719
Pr7 0.871 0.612 0.781
Pr8 0.871 0.888 0.781
S1 0.391 0.250 0.144
S2 0.398 0.750 0.165
S3 0.125 0.567 0.241
S4 0.125 0.933 0.241
S5 0.625 0.567 0.259
S6 0.625 0.933 0.259
S7 0.898 0.750 0.335
S8 0.891 0.250 0.356
S9 0.109 0.750 0.644
S10 0.102 0.250 0.665
S11 0.375 0.067 0.741
S12 0.375 0.433 0.741
S13 0.875 0.067 0.759
S14 0.875 0.433 0.759
S15 0.602 0.250 0.835
S16 0.609 0.750 0.856
# Crystal system: orthorhombic
# Total DFT energy (no corrections) (eV/atom): -6.09
# Density (g/cm³): 5.0



# 4
# PrS, relaxed, DFT PBE
data_PrS
_chemical_formula_sum 'Pr1 S1'
_cell_length_a 4.536
_cell_length_b 4.536
_cell_length_c 4.536
_cell_angle_alpha 60.00
_cell_angle_beta 60.00
_cell_angle_gamma 60.00
_space_group_name_H-M_alt 'P 1'
_space_group_IT_number 1
_space_group_name_Hall 'P 1'
loop_
_atom_site_label
_atom_site_fract_x
_atom_site_fract_y
_atom_site_fract_z
Pr1 0.000 0.000 0.000
S1 0.250 0.250 0.250
# Crystal system: cubic
# Total DFT energy (no corrections) (eV/atom): -6.00
# Density (g/cm³): 4.4



# 5
# PrS, relaxed, DFT PBE
data_PrS
_chemical_formula_sum 'Pr1 S1'
_cell_length_a 3.912
_cell_length_b 3.912
_cell_length_c 3.759
_cell_angle_alpha 90.00
_cell_angle_beta 90.00
_cell_angle_gamma 120.00
_space_group_name_H-M_alt 'P 1'
_space_group_IT_number 1
_space_group_name_Hall 'P 1'
loop_
_atom_site_label
_atom_site_fract_x
_atom_site_fract_y
_atom_site_fract_z
Pr1 0.667 0.333 0.750
S1 0.333 0.667 0.250
# Crystal system: hexagonal
# Total DFT energy (no corrections) (eV/atom): -6.31
# Density (g/cm³): 5.8



# 6
# PrS, relaxed, DFT PBE
data_PrS
_chemical_formula_sum 'Pr2 S2'
_cell_length_a 7.085
_cell_length_b 7.085
_cell_length_c 7.085
_cell_angle_alpha 33.70
_cell_angle_beta 33.70
_cell_angle_gamma 33.70
_space_group_name_H-M_alt 'P 1'
_space_group_IT_number 1
_space_group_name_Hall 'P 1'
loop_
_atom_site_label
_atom_site_fract_x
_atom_site_fract_y
_atom_site_fract_z
Pr1 0.250 0.250 0.250
Pr2 0.750 0.750 0.750
S1 0.000 0.000 0.000
S2 0.500 0.500 0.500
# Crystal system: trigonal
# Total DFT energy (no corrections) (eV/atom): -6.48
# Density (g/cm³): 5.9



# 7
# PrS2, relaxed, DFT PBE
data_PrS2
_chemical_formula_sum 'Pr2 S4'
_cell_length_a 5.604
_cell_length_b 5.604
_cell_length_c 5.604
_cell_angle_alpha 60.00
_cell_angle_beta 60.00
_cell_angle_gamma 60.00
_space_group_name_H-M_alt 'P 1'
_space_group_IT_number 1
_space_group_name_Hall 'P 1'
loop_
_atom_site_label
_atom_site_fract_x
_atom_site_fract_y
_atom_site_fract_z
Pr1 0.000 0.000 0.000
Pr2 0.250 0.250 0.250
S1 0.625 0.625 0.125
S2 0.625 0.125 0.625
S3 0.125 0.625 0.625
S4 0.625 0.625 0.625
# Crystal system: cubic
# Total DFT energy (no corrections) (eV/atom): -4.59
# Density (g/cm³): 5.5



# 8
# PrS, relaxed, DFT PBE
data_PrS
_chemical_formula_sum 'Pr3 S3'
_cell_length_a 4.101
_cell_length_b 4.101
_cell_length_c 10.045
_cell_angle_alpha 90.00
_cell_angle_beta 90.00
_cell_angle_gamma 120.00
_space_group_name_H-M_alt 'P 1'
_space_group_IT_number 1
_space_group_name_Hall 'P 1'
loop_
_atom_site_label
_atom_site_fract_x
_atom_site_fract_y
_atom_site_fract_z
Pr1 0.333 0.667 0.166
Pr2 0.000 0.000 0.500
Pr3 0.667 0.333 0.834
S1 0.000 0.000 0.000
S2 0.667 0.333 0.333
S3 0.333 0.667 0.667
# Crystal system: trigonal
# Total DFT energy (no corrections) (eV/atom): -6.48
# Density (g/cm³): 5.9



# 9
# Pr2S, relaxed, DFT PBE
data_Pr2S
_chemical_formula_sum 'Pr4 S2'
_cell_length_a 6.278
_cell_length_b 6.278
_cell_length_c 6.278
_cell_angle_alpha 60.00
_cell_angle_beta 60.00
_cell_angle_gamma 60.00
_space_group_name_H-M_alt 'P 1'
_space_group_IT_number 1
_space_group_name_Hall 'P 1'
loop_
_atom_site_label
_atom_site_fract_x
_atom_site_fract_y
_atom_site_fract_z
Pr1 0.625 0.625 0.125
Pr2 0.625 0.125 0.625
Pr3 0.125 0.625 0.625
Pr4 0.625 0.625 0.625
S1 0.000 0.000 0.000
S2 0.250 0.250 0.250
# Crystal system: cubic
# Total DFT energy (no corrections) (eV/atom): -4.54
# Density (g/cm³): 6.0



# 10
# PrS, relaxed, DFT PBE
data_PrS
_chemical_formula_sum 'Pr1 S1'
_cell_length_a 4.102
_cell_length_b 4.102
_cell_length_c 4.102
_cell_angle_alpha 119.99
_cell_angle_beta 119.99
_cell_angle_gamma 90.02
_space_group_name_H-M_alt 'P 1'
_space_group_IT_number 1
_space_group_name_Hall 'P 1'
loop_
_atom_site_label
_atom_site_fract_x
_atom_site_fract_y
_atom_site_fract_z
Pr1 0.000 0.000 0.000
S1 0.500 0.500 0.000
# Crystal system: cubic
# Total DFT energy (no corrections) (eV/atom): -6.47
# Density (g/cm³): 5.9



# 11
# Pr8Sb2S15, relaxed, DFT PBE
data_Pr8Sb2S15
_chemical_formula_sum 'Pr32 Sb8 S60'
_cell_length_a 14.982
_cell_length_b 14.982
_cell_length_c 14.982
_cell_angle_alpha 116.38
_cell_angle_beta 116.38
_cell_angle_gamma 96.39
_space_group_name_H-M_alt 'P 1'
_space_group_IT_number 1
_space_group_name_Hall 'P 1'
loop_
_atom_site_label
_atom_site_fract_x
_atom_site_fract_y
_atom_site_fract_z
Pr1 0.356 0.649 0.007
Pr2 0.137 0.792 0.070
Pr3 0.831 0.661 0.130
Pr4 0.295 0.468 0.134
Pr5 0.542 0.972 0.155
Pr6 0.331 0.201 0.170
Pr7 0.834 0.968 0.173
Pr8 0.099 0.606 0.207
Pr9 0.143 0.149 0.293
Pr10 0.911 0.545 0.327
Pr11 0.411 0.781 0.330
Pr12 0.637 0.567 0.345
Pr13 0.411 0.084 0.366
Pr14 0.951 0.281 0.370
Pr15 0.317 0.472 0.430
Pr16 0.599 0.393 0.493
Pr17 0.899 0.106 0.507
Pr18 0.042 0.887 0.570
Pr19 0.911 0.581 0.630
Pr20 0.718 0.045 0.634
Pr21 0.222 0.292 0.655
Pr22 0.451 0.081 0.670
Pr23 0.218 0.584 0.673
Pr24 0.856 0.849 0.707
Pr25 0.399 0.893 0.793
Pr26 0.795 0.661 0.827
Pr27 0.031 0.161 0.830
Pr28 0.817 0.387 0.845
Pr29 0.334 0.161 0.866
Pr30 0.531 0.701 0.870
Pr31 0.722 0.067 0.930
Pr32 0.643 0.349 0.993
S1 0.249 0.249 0.000
S2 0.749 0.749 0.000
S3 0.949 0.626 0.010
S4 0.052 0.383 0.012
S5 0.871 0.462 0.087
S6 0.212 0.625 0.092
S7 0.526 0.342 0.109
S8 0.582 0.774 0.113
S9 0.923 0.123 0.147
S10 0.216 0.020 0.149
S11 0.789 0.302 0.169
S12 0.376 0.866 0.177
S13 0.026 0.917 0.184
S14 0.161 0.274 0.192
S15 0.716 0.567 0.196
S16 0.477 0.623 0.201
S17 0.526 0.173 0.299
S18 0.770 0.121 0.304
S19 0.219 0.832 0.308
S20 0.092 0.483 0.316
S21 0.449 0.439 0.323
S22 0.870 0.883 0.331
S23 0.317 0.621 0.351
S24 0.026 0.727 0.353
S25 0.719 0.411 0.387
S26 0.667 0.983 0.391
S27 0.371 0.284 0.408
S28 0.034 0.125 0.413
S29 0.289 0.120 0.488
S30 0.189 0.366 0.490
S31 0.999 0.499 0.500
S32 0.499 0.999 0.500
S33 0.876 0.699 0.510
S34 0.633 0.802 0.512
S35 0.712 0.621 0.587
S36 0.875 0.962 0.592
S37 0.592 0.276 0.609
S38 0.024 0.332 0.613
S39 0.373 0.673 0.647
S40 0.270 0.966 0.649
S41 0.552 0.539 0.669
S42 0.116 0.126 0.677
S43 0.167 0.776 0.684
S44 0.524 0.911 0.692
S45 0.817 0.466 0.696
S46 0.873 0.227 0.701
S47 0.423 0.276 0.799
S48 0.371 0.520 0.804
S49 0.082 0.969 0.808
S50 0.733 0.842 0.816
S51 0.689 0.199 0.823
S52 0.133 0.620 0.831
S53 0.871 0.067 0.851
S54 0.977 0.776 0.853
S55 0.661 0.469 0.887
S56 0.233 0.417 0.891
S57 0.534 0.121 0.908
S58 0.375 0.784 0.913
S59 0.370 0.039 0.988
S60 0.616 0.939 0.990
Sb1 0.994 0.314 0.113
Sb2 0.631 0.244 0.180
Sb3 0.701 0.814 0.320
Sb4 0.131 0.951 0.387
Sb5 0.564 0.744 0.613
Sb6 0.494 0.381 0.680
Sb7 0.064 0.451 0.820
Sb8 0.201 0.881 0.887
# Crystal system: tetragonal
# Total DFT energy (no corrections) (eV/atom): -6.04
# Density (g/cm³): 4.9



# 12
# Pr2Sb2TeS, relaxed, DFT PBE
data_Pr2Sb2TeS
_chemical_formula_sum 'Pr2 Sb2 Te1 S1'
_cell_length_a 4.268
_cell_length_b 4.268
_cell_length_c 9.437
_cell_angle_alpha 90.00
_cell_angle_beta 90.00
_cell_angle_gamma 90.00
_space_group_name_H-M_alt 'P 1'
_space_group_IT_number 1
_space_group_name_Hall 'P 1'
loop_
_atom_site_label
_atom_site_fract_x
_atom_site_fract_y
_atom_site_fract_z
Pr1 0.000 0.000 0.284
Pr2 0.500 0.500 0.710
S1 0.000 0.000 0.633
Sb1 0.500 0.000 0.998
Sb2 0.000 0.500 0.998
Te1 0.500 0.500 0.376
# Crystal system: tetragonal
# Total DFT energy (no corrections) (eV/atom): -5.44
# Density (g/cm³): 6.6



What is the total DFT energy (no corrections) in the second record? -5.52 eV/atom